# NiBiO3 (PBE+U, optimized geometry)
# - spin magnetization (Bohr magnetons per cell) = 3.8
# - density (g/cm³) = 8.24
# - total energy (eV per atom) = -5.15
# - DOS at the Fermi energy (states/eV/cell) = 1.94
data_NiBiO3
_cell_length_a 6.0308
_cell_length_b 3.2739
_cell_length_c 6.7660
_cell_angle_alpha 90.00
_cell_angle_beta 107.85
_cell_angle_gamma 90.00
_space_group_name_H-M_alt 'P 1 2 1'
_space_group_IT_number 3
loop_
_space_group_symop_operation_xyz
'x,y,z'
'-x,y,-z'
loop_
_atom_site_label
_atom_site_type_symbol
_atom_site_fract_x
_atom_site_fract_y
_atom_site_fract_z
_atom_site_occupancy
Ni1 Ni 0.0000 0.0000 0.0000 1
Ni2 Ni 0.5000 0.0664 0.5000 1
Bi1 Bi 0.0000 0.5482 0.5000 1
Bi2 Bi 0.5000 0.8411 0.0000 1
O1 O 0.1131 0.0454 0.3335 1
O2 O 0.2023 0.4910 0.9902 1
O3 O 0.3843 0.5753 0.6500 1